(1)
{"formula": "YPaInO6", "functional": "PBE", "state": "optimized geometry", "energy_ev_per_cell": -72.3, "formation_energy_uncorrected_ev_per_atom": -2.6453, "cell": [[4.793, 0.000, 0.000], [0.000, 5.639, 0.000], [0.000, -2.820, 4.884]], "species": ["Y", "Pa", "In", "O", "O", "O", "O", "O", "O"], "frac_coords": [[0.500, 0.667, 0.333], [0.000, 0.333, 0.667], [0.500, 0.000, 0.000], [0.745, 0.661, 0.677], [0.745, 0.323, 0.984], [0.745, 0.016, 0.339], [0.255, 0.323, 0.339], [0.255, 0.661, 0.984], [0.255, 0.016, 0.677]]}

(2)
{"formula": "ZrPaIn2O8", "functional": "PBE", "state": "optimized geometry", "energy_ev_per_cell": -92.2, "formation_energy_uncorrected_ev_per_atom": -2.4215, "cell": [[-1.677, -3.188, 3.468], [-0.876, -3.370, -3.584], [6.291, -2.464, 0.779]], "species": ["Zr", "Pa", "In", "In", "O", "O", "O", "O", "O", "O", "O", "O"], "frac_coords": [[0.000, 0.000, 0.000], [0.000, 0.000, 0.500], [0.500, 0.500, 0.756], [0.500, 0.500, 0.244], [0.188, 0.811, 0.245], [0.700, 0.700, 0.000], [0.812, 0.189, 0.245], [0.812, 0.189, 0.755], [0.300, 0.300, 0.000], [0.188, 0.811, 0.755], [0.694, 0.695, 0.500], [0.306, 0.305, 0.500]]}

(3)
{"formula": "In2PbO", "functional": "PBE", "state": "optimized geometry", "energy_ev_per_cell": -13.4, "formation_energy_uncorrected_ev_per_atom": 0.1821, "de_polymorph_mev_per_atom": 538, "cell": [[0.000, 3.562, 3.562], [3.562, 0.000, 3.562], [3.562, 3.562, 0.000]], "species": ["Pb", "O", "In", "In"], "frac_coords": [[0.500, 0.500, 0.500], [0.000, 0.000, 0.000], [0.250, 0.250, 0.250], [0.750, 0.750, 0.750]]}

(4)
{"formula": "In2PbO", "functional": "PBE", "state": "optimized geometry", "energy_ev_per_cell": -31.1, "formation_energy_uncorrected_ev_per_atom": -0.3557, "de_polymorph_mev_per_atom": 0, "cell": [[-2.367, 3.547, -4.202], [-5.386, -0.573, 2.550], [-2.780, 6.221, 2.553]], "species": ["Pb", "Pb", "O", "O", "In", "In", "In", "In"], "frac_coords": [[0.000, 0.000, 0.000], [0.750, 0.250, 0.500], [0.500, 0.500, 0.000], [0.250, 0.750, 0.500], [0.526, 0.125, 0.250], [0.224, 0.625, 0.250], [0.375, 0.474, 0.750], [0.875, 0.776, 0.750]]}

(5)
{"formula": "InPbO4", "functional": "PBE", "state": "optimized geometry", "energy_ev_per_cell": -62.9, "formation_energy_uncorrected_ev_per_atom": -0.8627, "cell": [[-0.536, 4.929, 3.540], [-4.913, -0.789, -3.515], [0.601, -4.887, 3.588]], "species": ["In", "In", "Pb", "Pb", "O", "O", "O", "O", "O", "O", "O", "O"], "frac_coords": [[0.751, 0.751, 0.000], [0.501, 0.001, 0.500], [0.249, 0.249, 0.000], [0.999, 0.499, 0.500], [0.749, 0.444, 0.695], [0.251, 0.943, 0.692], [0.194, 0.999, 0.195], [0.693, 0.501, 0.192], [0.309, 0.501, 0.808], [0.804, 0.999, 0.805], [0.749, 0.054, 0.305], [0.251, 0.559, 0.308]]}

(6)
{"formula": "In3PbO", "functional": "PBE", "state": "optimized geometry", "energy_ev_per_cell": -12.6, "formation_energy_uncorrected_ev_per_atom": 0.8480, "de_polymorph_mev_per_atom": 1066, "cell": [[5.877, 0.000, 0.000], [0.000, 5.877, 0.000], [0.000, 0.000, 5.877]], "species": ["Pb", "O", "In", "In", "In"], "frac_coords": [[0.000, 0.000, 0.000], [0.500, 0.500, 0.500], [0.000, 0.500, 0.000], [0.000, 0.000, 0.500], [0.500, 0.000, 0.000]]}

(7)
{"formula": "InPb3O6", "functional": "PBE", "state": "optimized geometry", "energy_ev_per_cell": -107.8, "formation_energy_uncorrected_ev_per_atom": -1.0276, "cell": [[3.461, 0.000, 0.000], [0.000, 8.721, 0.660], [0.000, -2.336, 10.866]], "species": ["In", "In", "Pb", "Pb", "Pb", "Pb", "Pb", "Pb", "O", "O", "O", "O", "O", "O", "O", "O", "O", "O", "O", "O"], "frac_coords": [[0.750, 0.045, 0.641], [0.250, 0.955, 0.359], [0.750, 0.449, 0.820], [0.250, 0.551, 0.180], [0.750, 0.681, 0.493], [0.250, 0.319, 0.507], [0.750, 0.131, 0.101], [0.250, 0.869, 0.899], [0.750, 0.470, 0.605], [0.250, 0.530, 0.395], [0.750, 0.875, 0.030], [0.250, 0.125, 0.970], [0.750, 0.382, 0.136], [0.250, 0.618, 0.864], [0.750, 0.804, 0.320], [0.250, 0.196, 0.680], [0.750, 0.116, 0.456], [0.250, 0.884, 0.544], [0.750, 0.892, 0.773], [0.250, 0.108, 0.227]]}

(8)
{"formula": "In2PbO4", "functional": "PBE", "state": "optimized geometry", "energy_ev_per_cell": -78.0, "formation_energy_uncorrected_ev_per_atom": -1.4231, "de_polymorph_mev_per_atom": 0, "cell": [[6.789, 0.247, -0.120], [-0.244, 6.789, 0.119], [-3.184, -3.600, 4.806]], "species": ["In", "In", "In", "In", "Pb", "Pb", "O", "O", "O", "O", "O", "O", "O", "O"], "frac_coords": [[0.625, 0.375, 0.750], [0.625, 0.875, 0.250], [0.625, 0.375, 0.250], [0.125, 0.375, 0.750], [0.250, 0.750, 0.500], [0.000, 0.000, 0.000], [0.857, 0.143, 0.287], [0.393, 0.607, 0.213], [0.857, 0.570, 0.713], [0.857, 0.143, 0.713], [0.430, 0.143, 0.287], [0.393, 0.180, 0.787], [0.393, 0.607, 0.787], [0.820, 0.607, 0.213]]}